No. 1
This record from the Alexandria database describes crystalline Li3Ga6Rh2 at its relaxed geometry. The functional is PBE.

a = 5.0246 Å, b = 5.0600 Å, c = 9.3944 Å
α = 110.87°, β = 55.71°, γ = 117.38°
Element x y z (fractional)
Li1 0.0000 0.0000 0.0000
Li2 0.3374 0.0958 0.6670
Li3 0.6626 0.9042 0.3330
Ga1 0.7271 0.3818 0.2415
Ga2 0.3256 0.8445 0.1260
Ga3 0.2729 0.6182 0.7585
Ga4 0.6744 0.1555 0.8740
Ga5 0.0829 0.2856 0.5029
Ga6 0.9171 0.7144 0.4971
Rh1 0.7227 0.6142 0.8039
Rh2 0.2773 0.3858 0.1961

E_form ... -0.37 eV per atom
Crystal system ... triclinic



No. 2
This record from the Alexandria database describes crystalline ZrAl2W at its relaxed geometry. The functional is PBE.

a = 5.2022 Å, b = 5.2022 Å, c = 5.2022 Å
α = 134.94°, β = 134.94°, γ = 65.62°
Element x y z (fractional)
Zr1 0.7500 0.2500 0.5000
W1 0.5000 0.5000 0.0000
Al1 0.0000 0.0000 0.0000
Al2 0.2500 0.7500 0.5000

E_form ... -0.09 eV per atom
Crystal system ... tetragonal
Distance to the lowest polymorph of the same formula ... 0.0922 eV per atom



No. 3
This record from the Alexandria database describes crystalline SmYRhI at its relaxed geometry. The functional is PBE.

a = 4.1110 Å, b = 4.1111 Å, c = 8.3543 Å
α = 90.00°, β = 104.26°, γ = 120.00°
Element x y z (fractional)
Sm1 0.5158 0.1558 0.6873
Y1 0.0927 0.9443 0.0523
Rh1 0.3057 0.5507 0.8719
I1 0.9638 0.3800 0.3582

Crystal system ... trigonal
Formation energy without anion corrections ... -3.70 eV/f.u.



No. 4
This record from the Alexandria database describes crystalline CaCrSn2 at its relaxed geometry. The functional is PBE.

a = 5.3379 Å, b = 5.3379 Å, c = 9.3622 Å
α = 73.44°, β = 73.44°, γ = 90.00°
Last column: magnetic moment on the atom in μB.
Element x y z (fractional)
Cr1 0.0000 0.0000 0.0000  -0.05
Cr2 0.7500 0.2500 0.5000  -0.06
Ca1 0.5000 0.5000 0.0000  0.00
Ca2 0.2500 0.7500 0.5000  0.00
Sn1 0.7650 0.1250 0.2500  0.03
Sn2 0.9850 0.6250 0.2500  0.03
Sn3 0.3750 0.2350 0.7500  0.02
Sn4 0.8750 0.0150 0.7500  0.02

E_form ... 0.44 eV per atom
Crystal system ... tetragonal



No. 5
This record from the Alexandria database describes crystalline Ac2HgRuO8 at its relaxed geometry. The functional is PBE.

a = 4.2654 Å, b = 5.4410 Å, c = 7.5995 Å
α = 85.86°, β = 89.55°, γ = 93.72°
Element x y z (fractional)
Ac1 0.3082 0.5053 0.7527
Ac2 0.6918 0.4947 0.2473
Hg1 0.0000 0.0000 0.5000
Ru1 0.0000 0.0000 0.0000
O1 0.2252 0.7883 0.1521
O2 0.7563 0.7088 0.9405
O3 0.7295 0.0330 0.1929
O4 0.7748 0.2117 0.8479
O5 0.2437 0.2912 0.0595
O6 0.2705 0.9670 0.8071
O7 0.7645 0.6643 0.5516
O8 0.2355 0.3357 0.4484

Crystal system ... triclinic
Formation energy without anion corrections ... -20.40 eV/f.u.



No. 6
This record from the Alexandria database describes crystalline PrMg8Cu4 at its relaxed geometry. The functional is PBE.

a = 5.3817 Å, b = 7.3075 Å, c = 7.3075 Å
α = 82.21°, β = 68.39°, γ = 68.39°
Element x y z (fractional)
Pr1 0.0000 0.0000 0.0000
Mg1 0.0000 0.3427 0.6573
Mg2 0.0000 0.6573 0.3427
Mg3 0.3427 0.6573 0.6573
Mg4 0.6573 0.3427 0.3427
Mg5 0.5000 0.7824 0.2176
Mg6 0.5000 0.2176 0.7824
Mg7 0.2824 0.2176 0.2176
Mg8 0.7176 0.7824 0.7824
Cu1 0.0000 0.0000 0.5000
Cu2 0.5000 0.0000 0.5000
Cu3 0.0000 0.5000 0.0000
Cu4 0.5000 0.5000 0.0000

E_form ... -0.11 eV per atom
Crystal system ... tetragonal



No. 7
This record from the Alexandria database describes crystalline Tb16Tm7Sc6 at its relaxed geometry. The functional is PBE.

a = 10.7704 Å, b = 10.7704 Å, c = 10.7704 Å
α = 60.00°, β = 60.00°, γ = 60.00°
Element x y z (fractional)
Tb1 0.8526 0.8526 0.4422
Tb2 0.8526 0.8526 0.8526
Tb3 0.8526 0.4422 0.8526
Tb4 0.4422 0.8526 0.8526
Tb5 0.1474 0.1474 0.1474
Tb6 0.1474 0.1474 0.5578
Tb7 0.1474 0.5578 0.1474
Tb8 0.5578 0.1474 0.1474
Tb9 0.6117 0.6117 0.1649
Tb10 0.6117 0.6117 0.6117
Tb11 0.6117 0.1649 0.6117
Tb12 0.1649 0.6117 0.6117
Tb13 0.3883 0.3883 0.3883
Tb14 0.3883 0.3883 0.8351
Tb15 0.3883 0.8351 0.3883
Tb16 0.8351 0.3883 0.3883
Tm1 0.0000 0.0000 0.0000
Tm2 0.5000 0.0000 0.5000
Tm3 0.0000 0.5000 0.0000
Tm4 0.0000 0.5000 0.5000
Tm5 0.5000 0.0000 0.0000
Tm6 0.0000 0.0000 0.5000
Tm7 0.5000 0.5000 0.0000
Sc1 0.2216 0.7784 0.2216
Sc2 0.7784 0.2216 0.7784
Sc3 0.7784 0.2216 0.2216
Sc4 0.2216 0.7784 0.7784
Sc5 0.7784 0.7784 0.2216
Sc6 0.2216 0.2216 0.7784

E_form ... 0.18 eV per atom
Crystal system ... cubic



No. 8
This record from the Alexandria database describes crystalline Ca2TbSnTe4 at its relaxed geometry. The functional is PBE.

a = 4.4610 Å, b = 7.7577 Å, c = 7.8256 Å
α = 70.70°, β = 90.00°, γ = 90.00°
Element x y z (fractional)
Ca1 0.0000 0.0000 0.0000
Ca2 0.5000 0.0000 0.5000
Tb1 0.0000 0.5000 0.5000
Sn1 0.5000 0.5000 0.0000
Te1 0.0000 0.7473 0.7470
Te2 0.0000 0.2527 0.2530
Te3 0.5000 0.7452 0.2535
Te4 0.5000 0.2548 0.7465

Crystal system ... monoclinic
Formation energy without anion corrections ... -9.36 eV/f.u.



No. 9
This record from the Alexandria database describes crystalline SmDyPdAu at its relaxed geometry. The functional is PBE.

a = 3.8004 Å, b = 4.7131 Å, c = 5.6901 Å
α = 90.00°, β = 109.51°, γ = 90.00°
Element x y z (fractional)
Sm1 0.1396 0.0000 0.2792
Dy1 0.8634 0.5000 0.7269
Pd1 0.4129 0.0000 0.8259
Au1 0.5840 0.5000 0.1680

E_form ... -0.87 eV per atom
Crystal system ... orthorhombic
Distance to the lowest polymorph of the same formula ... 0.0000 eV per atom



No. 10
This record from the Alexandria database describes crystalline Ce2Er3TmAs6 at its relaxed geometry. The functional is PBE.

a = 4.1284 Å, b = 8.2455 Å, c = 9.2125 Å
α = 102.87°, β = 102.95°, γ = 90.00°
Last column: magnetic moment on the atom in μB.
Element x y z (fractional)
Ce1 0.8346 0.6688 0.6692  0.56
Ce2 0.1654 0.3312 0.3308  0.56
Er1 0.5000 0.5000 0.0000  0.01
Er2 0.8333 0.1655 0.6666  0.00
Er3 0.1667 0.8345 0.3334  0.00
Tm1 0.5000 0.0000 0.0000  0.01
As1 0.3340 0.9216 0.6680  -0.01
As2 0.6653 0.5872 0.3307  -0.01
As3 0.6660 0.0784 0.3320  -0.01
As4 0.9983 0.2482 0.9965  -0.01
As5 0.0017 0.7518 0.0035  -0.01
As6 0.3347 0.4128 0.6693  -0.01

E_form ... -1.48 eV per atom
Crystal system ... monoclinic



Copy entry 4 word for word.
This record from the Alexandria database describes crystalline CaCrSn2 at its relaxed geometry. The functional is PBE.

a = 5.3379 Å, b = 5.3379 Å, c = 9.3622 Å
α = 73.44°, β = 73.44°, γ = 90.00°
Last column: magnetic moment on the atom in μB.
Element x y z (fractional)
Cr1 0.0000 0.0000 0.0000  -0.05
Cr2 0.7500 0.2500 0.5000  -0.06
Ca1 0.5000 0.5000 0.0000  0.00
Ca2 0.2500 0.7500 0.5000  0.00
Sn1 0.7650 0.1250 0.2500  0.03
Sn2 0.9850 0.6250 0.2500  0.03
Sn3 0.3750 0.2350 0.7500  0.02
Sn4 0.8750 0.0150 0.7500  0.02

E_form ... 0.44 eV per atom
Crystal system ... tetragonal



Copy entry 5 word for word.
This record from the Alexandria database describes crystalline Ac2HgRuO8 at its relaxed geometry. The functional is PBE.

a = 4.2654 Å, b = 5.4410 Å, c = 7.5995 Å
α = 85.86°, β = 89.55°, γ = 93.72°
Element x y z (fractional)
Ac1 0.3082 0.5053 0.7527
Ac2 0.6918 0.4947 0.2473
Hg1 0.0000 0.0000 0.5000
Ru1 0.0000 0.0000 0.0000
O1 0.2252 0.7883 0.1521
O2 0.7563 0.7088 0.9405
O3 0.7295 0.0330 0.1929
O4 0.7748 0.2117 0.8479
O5 0.2437 0.2912 0.0595
O6 0.2705 0.9670 0.8071
O7 0.7645 0.6643 0.5516
O8 0.2355 0.3357 0.4484

Crystal system ... triclinic
Formation energy without anion corrections ... -20.40 eV/f.u.